## i
A geometry-optimized SnGeIr3 structure, computed with PBE-GGA.

a = 4.614 Å, b = 4.614 Å, c = 4.614 Å
α = 90.00°, β = 90.00°, γ = 90.00°
Fractional coordinates of all 5 atoms:
Ir1 0.000 0.000 0.500
Ir2 0.000 0.500 0.000
Ir3 0.500 0.000 0.000
Sn1 0.500 0.500 0.500
Ge1 0.000 0.000 0.000

## ii
A geometry-optimized SnGeIr3 structure, computed with PBE-GGA.

a = 4.885 Å, b = 4.885 Å, c = 4.885 Å
α = 90.00°, β = 90.00°, γ = 90.00°
Fractional coordinates of all 5 atoms:
Ir1 0.000 0.000 0.500
Ir2 0.500 0.000 0.000
Ir3 0.000 0.500 0.000
Sn1 0.000 0.000 0.000
Ge1 0.500 0.500 0.500

Which is the most stable structure? i is the most stable.